Ti2MnFe | GGA-PBE | relaxed

Lattice parameters (Å, degrees): 6.577 6.577 5.360 52.15 52.15 90.00
Element x y z (fractional)
Fe: 0.000 0.000 0.000
Fe: 0.750 0.250 0.500
Ti: 0.375 0.360 0.750
Ti: 0.875 0.890 0.750
Ti: 0.110 0.625 0.250
Ti: 0.640 0.125 0.250
Mn: 0.500 0.500 0.000
Mn: 0.250 0.750 0.500

## Properties
energy relative to the elements: 0.948 eV/f.u.
density: 5.95 Mg/m³
volume: 115.25 Å³/cell
symmetry: No. 122

TiMnFe | GGA-PBE | relaxed

Lattice parameters (Å, degrees): 4.776 4.776 4.776 89.07 120.17 120.91
Element x y z (fractional)
Fe: 0.500 0.500 0.500
Fe: 0.000 0.500 0.000
Ti: 0.750 0.876 0.126
Ti: 0.250 0.124 0.874
Mn: 0.000 0.500 0.500
Mn: 0.500 0.000 0.500

## Properties
energy relative to the elements: -0.793 eV/f.u.
density: 6.90 Mg/m³
relative energy among the computed polymorphs: 0.0 meV/atom
volume: 76.39 Å³/cell
symmetry: No. 74

TiMnFe | GGA-PBE | relaxed

Lattice parameters (Å, degrees): 4.629 4.629 4.669 105.10 105.10 118.33
Element x y z (fractional)
Ti: 0.663 0.337 0.000
Ti: 0.337 0.663 0.000
Fe: 0.750 0.250 0.500
Fe: 0.250 0.750 0.500
Mn: 0.137 0.137 0.275
Mn: 0.863 0.863 0.725

## Properties
energy relative to the elements: 0.125 eV/f.u.
density: 6.95 Mg/m³
relative energy among the computed polymorphs: 305.9 meV/atom
volume: 75.84 Å³/cell
symmetry: No. 69

TiMnFe3 | GGA-PBE | relaxed

Lattice parameters (Å, degrees): 4.155 4.155 4.155 90.00 90.00 90.00
Element x y z (fractional)
Fe: 0.000 0.000 0.500
Fe: 0.500 0.000 0.000
Fe: 0.000 0.500 0.000
Mn: 0.000 0.000 0.000
Ti: 0.500 0.500 0.500

## Properties
energy relative to the elements: 4.258 eV/f.u.
density: 6.26 Mg/m³
relative energy among the computed polymorphs: 0.0 meV/atom
volume: 71.72 Å³/cell
symmetry: No. 221

Ti4Mn3Fe | GGA-PBE | relaxed

Lattice parameters (Å, degrees): 2.977 2.977 11.938 90.00 90.00 90.00
Element x y z (fractional)
Mn: 0.500 0.500 0.500
Mn: 0.500 0.500 0.751
Mn: 0.500 0.500 0.249
Ti: 0.000 0.000 0.124
Ti: 0.000 0.000 0.374
Ti: 0.000 0.000 0.876
Ti: 0.000 0.000 0.626
Fe: 0.500 0.500 0.000

## Properties
energy relative to the elements: -2.330 eV/f.u.
density: 6.47 Mg/m³
volume: 105.81 Å³/cell
symmetry: No. 123

TiMn3Fe | GGA-PBE | relaxed

Lattice parameters (Å, degrees): 4.129 4.129 4.129 90.00 90.00 90.00
Element x y z (fractional)
Mn: 0.000 0.000 0.500
Mn: 0.500 0.000 0.000
Mn: 0.000 0.500 0.000
Fe: 0.000 0.000 0.000
Ti: 0.500 0.500 0.500

## Properties
energy relative to the elements: 4.674 eV/f.u.
density: 6.33 Mg/m³
relative energy among the computed polymorphs: 0.0 meV/atom
volume: 70.42 Å³/cell
symmetry: No. 221

TiMnVFe | GGA-PBE | relaxed

Lattice parameters (Å, degrees): 2.907 2.907 5.841 90.00 90.00 90.00
Element x y z (fractional)
V: 0.000 0.000 0.353
Mn: 0.500 0.500 0.118
Ti: 0.000 0.000 0.858
Fe: 0.500 0.500 0.599

## Properties
energy relative to the elements: -1.214 eV/f.u.
density: 7.05 Mg/m³
volume: 49.37 Å³/cell
symmetry: No. 99

Ti2MnZnFe | GGA-PBE | relaxed

Lattice parameters (Å, degrees): 4.356 4.609 4.356 90.00 90.00 90.00
Element x y z (fractional)
Ti: 0.000 0.000 0.500
Ti: 0.500 0.000 0.000
Zn: 0.000 0.500 0.000
Fe: 0.000 0.000 0.000
Mn: 0.500 0.500 0.500

## Properties
energy relative to the elements: 2.222 eV/f.u.
density: 5.16 Mg/m³
volume: 87.47 Å³/cell
symmetry: No. 123

ZrTiMn2Fe | GGA-PBE | relaxed

Lattice parameters (Å, degrees): 4.686 4.489 4.686 90.00 90.00 90.00
Element x y z (fractional)
Mn: 0.000 0.000 0.500
Mn: 0.500 0.000 0.000
Ti: 0.500 0.500 0.500
Zr: 0.000 0.000 0.000
Fe: 0.000 0.500 0.000

## Properties
energy relative to the elements: 6.733 eV/f.u.
density: 5.13 Mg/m³
volume: 98.58 Å³/cell
symmetry: No. 123

MnTlFe2 | GGA-PBE | relaxed

Lattice parameters (Å, degrees): 4.921 4.921 4.275 64.57 64.57 40.37
Element x y z (fractional)
Fe: 0.981 0.981 0.020
Fe: 0.263 0.263 0.237
Mn: 0.512 0.512 0.487
Tl: 0.744 0.744 0.756

## Properties
energy relative to the elements: 1.704 eV/f.u.
density: 10.33 Mg/m³
relative energy among the computed polymorphs: 63.5 meV/atom
volume: 59.63 Å³/cell
symmetry: No. 8

MnTlFe2 | GGA-PBE | relaxed

Lattice parameters (Å, degrees): 4.953 4.953 4.953 139.49 129.88 66.32
Element x y z (fractional)
Mn: 0.750 0.250 0.500
Fe: 0.509 0.509 0.000
Fe: 0.991 0.991 0.000
Tl: 0.250 0.750 0.500

## Properties
energy relative to the elements: 1.877 eV/f.u.
density: 10.33 Mg/m³
relative energy among the computed polymorphs: 106.9 meV/atom
volume: 59.66 Å³/cell
symmetry: No. 71

MnTlFe3 | GGA-PBE | relaxed

Lattice parameters (Å, degrees): 4.327 4.327 4.327 90.00 90.00 90.00
Element x y z (fractional)
Mn: 0.000 0.000 0.000
Fe: 0.000 0.000 0.500
Fe: 0.500 0.000 0.000
Fe: 0.000 0.500 0.000
Tl: 0.500 0.500 0.500

## Properties
energy relative to the elements: 5.338 eV/f.u.
density: 8.75 Mg/m³
relative energy among the computed polymorphs: 0.0 meV/atom
volume: 80.99 Å³/cell
symmetry: No. 221

Please write out number 11 again, unchanged.
MnTlFe2 | GGA-PBE | relaxed

Lattice parameters (Å, degrees): 4.953 4.953 4.953 139.49 129.88 66.32
Element x y z (fractional)
Mn: 0.750 0.250 0.500
Fe: 0.509 0.509 0.000
Fe: 0.991 0.991 0.000
Tl: 0.250 0.750 0.500

## Properties
energy relative to the elements: 1.877 eV/f.u.
density: 10.33 Mg/m³
relative energy among the computed polymorphs: 106.9 meV/atom
volume: 59.66 Å³/cell
symmetry: No. 71